PaTiVO6, relaxed, DFT GGA+U; calculated total energy = -9.047 eV per atom
1.0
5.136 0.000 0.000
-2.568 4.448 0.000
0.000 0.000 4.824
Pa Ti V O
1 1 1 6
Direct
0.000 0.000 0.000
0.667 0.333 0.500
0.333 0.667 0.500
0.349 0.009 0.728
0.349 0.341 0.272
0.659 0.009 0.272
0.659 0.651 0.728
0.991 0.341 0.728
0.991 0.651 0.272